(1)
## MgTcAuF2 (PBE)

Data for an optimized crystal structure of MgTcAuF2.

a = 3.823 Å, b = 3.823 Å, c = 6.172 Å
α = 90.00°, β = 90.00°, γ = 90.00°
Space group P4/mmm (No. 123)
Inequivalent atoms, fractional coordinates:
Mg: 0.000 0.000 0.000 x1
Tc: 0.500 0.500 0.500 x1
Au: 0.000 0.000 0.500 x1
F: 0.000 0.500 0.000 x2

- E_form (uncorrected) (eV per atom) = -1.164

(2)
## Pm6Pr3Er2Mg (PBE)

Data for an optimized crystal structure of Pm6Pr3Er2Mg.

a = 6.284 Å, b = 10.903 Å, c = 11.889 Å
α = 90.00°, β = 100.26°, γ = 90.00°
Space group C2/m (No. 12)
Inequivalent atoms, fractional coordinates:
Pm: 0.245 0.166 0.242 x8
Pm: 0.248 0.500 0.244 x4
Pr: 0.000 0.167 0.500 x4
Pr: 0.000 0.500 0.500 x2
Er: 0.000 0.334 0.000 x4
Mg: 0.000 0.000 0.000 x2

- E_form (eV per atom) = 0.03

Number 1: calculated total energy -4.960 eV/atom. Number 2: calculated total energy -4.431 eV/atom.